The following is a PBE calculation of a geometry-optimized YMo structure, from Alexandria via LeMat-Bulk.

Calculated formation energy   0.760 eV/atom

a = 3.119 Å, b = 3.119 Å, c = 10.231 Å
α = 90.00°, β = 90.00°, γ = 120.00°
Fractional positions:
Y 0.000 0.000 0.000
Y 0.000 0.000 0.500
Mo 0.333 0.667 0.250
Mo 0.667 0.333 0.750


The following is a PBE calculation of a geometry-optimized Rb2ZrHg2I6 structure, from Alexandria via LeMat-Bulk.

Energy relative to the elements, uncorrected   -0.939 eV per atom

a = 8.938 Å, b = 8.938 Å, c = 9.326 Å
α = 101.02°, β = 101.02°, γ = 121.14°
Fractional positions:
Rb 0.169 0.831 0.000
Rb 0.831 0.169 0.000
Zr 0.500 0.500 0.000
Hg 0.308 0.692 0.500
Hg 0.692 0.308 0.500
I 0.156 0.417 0.801
I 0.313 0.313 0.196
I 0.417 0.156 0.801
I 0.583 0.844 0.199
I 0.687 0.687 0.804
I 0.844 0.583 0.199


The following is a PBE calculation of a geometry-optimized GaTeH structure, from Alexandria via LeMat-Bulk.

Uncorrected energy   -3.255 eV/atom

a = 4.390 Å, b = 4.390 Å, c = 8.219 Å
α = 105.42°, β = 105.42°, γ = 60.00°
Fractional positions:
Ga 0.000 0.000 0.000
Ga 0.158 0.158 0.472
Te 0.385 0.385 0.155
Te 0.884 0.884 0.652
H 0.613 0.613 0.830
H 0.641 0.641 0.928


The following is a PBE calculation of a geometry-optimized Pm5TeIr2 structure, from Alexandria via LeMat-Bulk.

Energy relative to the elements, uncorrected   -0.784 eV per atom

a = 8.877 Å, b = 8.877 Å, c = 8.877 Å
α = 126.21°, β = 126.21°, γ = 79.54°
Fractional positions:
Pm 0.000 0.000 0.000
Pm 0.022 0.522 0.812
Pm 0.210 0.022 0.500
Pm 0.290 0.790 0.812
Pm 0.478 0.290 0.500
Pm 0.500 0.500 0.000
Pm 0.522 0.710 0.500
Pm 0.710 0.210 0.188
Pm 0.790 0.978 0.500
Pm 0.978 0.478 0.188
Te 0.250 0.250 0.000
Te 0.750 0.750 0.000
Ir 0.141 0.359 0.500
Ir 0.359 0.859 0.218
Ir 0.641 0.141 0.782
Ir 0.859 0.641 0.500


The following is a PBE calculation of a geometry-optimized Hf2InPbO structure, from Alexandria via LeMat-Bulk.

Energy relative to the elements, uncorrected   0.821 eV per atom

a = 5.538 Å, b = 5.538 Å, c = 4.232 Å
α = 90.00°, β = 90.00°, γ = 90.00°
Fractional positions:
Hf 0.000 0.500 0.000
Hf 0.500 0.000 0.000
In 0.000 0.000 0.500
Pb 0.500 0.500 0.000
O 0.500 0.500 0.500


The following is a PBE calculation of a geometry-optimized LiP2W structure, from Alexandria via LeMat-Bulk.

Calculated formation energy   -0.340 eV/atom

a = 7.307 Å, b = 7.307 Å, c = 7.307 Å
α = 25.59°, β = 25.59°, γ = 25.59°
Fractional positions:
Li 0.000 0.000 0.000
P 0.243 0.243 0.243
P 0.757 0.757 0.757
W 0.500 0.500 0.500


The following is a PBE calculation of a geometry-optimized Tm2MgSc4 structure, from Alexandria via LeMat-Bulk.

Calculated formation energy   0.128 eV/atom

a = 19.369 Å, b = 19.369 Å, c = 19.369 Å
α = 9.85°, β = 9.85°, γ = 9.85°
Fractional positions:
Tm 0.235 0.235 0.235
Tm 0.765 0.765 0.765
Mg 0.000 0.000 0.000
Sc 0.145 0.145 0.145
Sc 0.289 0.289 0.289
Sc 0.711 0.711 0.711
Sc 0.855 0.855 0.855


The following is a PBE calculation of a geometry-optimized CdHPt structure, from Alexandria via LeMat-Bulk.

Uncorrected energy   -3.583 eV/atom

a = 5.560 Å, b = 5.560 Å, c = 7.349 Å
α = 131.36°, β = 131.36°, γ = 30.50°
Fractional positions:
Cd 0.240 0.240 0.240
Cd 0.760 0.760 0.760
H 0.498 0.498 0.830
H 0.502 0.502 0.170
Pt 0.000 0.000 0.298
Pt 0.000 0.000 0.702


The following is a PBE calculation of a geometry-optimized Sc3NbPb structure, from Alexandria via LeMat-Bulk.

Calculated formation energy   1.000 eV/atom

a = 5.348 Å, b = 5.348 Å, c = 5.348 Å
α = 90.00°, β = 90.00°, γ = 90.00°
Fractional positions:
Sc 0.000 0.000 0.500
Sc 0.000 0.500 0.000
Sc 0.500 0.000 0.000
Nb 0.500 0.500 0.500
Pb 0.000 0.000 0.000


The following is a PBE calculation of a geometry-optimized SrTeP2O structure, from Alexandria via LeMat-Bulk.

Energy relative to the elements, uncorrected   -0.221 eV per atom

a = 5.240 Å, b = 5.240 Å, c = 4.126 Å
α = 90.00°, β = 90.00°, γ = 90.00°
Fractional positions:
Sr 0.000 0.000 0.000
Te 0.500 0.500 0.500
P 0.000 0.500 0.500
P 0.500 0.000 0.500
O 0.500 0.500 0.000


The following is a PBE calculation of a geometry-optimized AcPm6Y2Ho3 structure, from Alexandria via LeMat-Bulk.

Calculated formation energy   0.027 eV/atom

a = 6.300 Å, b = 6.300 Å, c = 12.032 Å
α = 95.01°, β = 95.01°, γ = 119.99°
Fractional positions:
Ac 0.000 0.000 0.000
Pm 0.086 0.422 0.256
Pm 0.250 0.250 0.744
Pm 0.422 0.086 0.256
Pm 0.578 0.914 0.744
Pm 0.750 0.750 0.256
Pm 0.914 0.578 0.744
Y 0.333 0.667 0.000
Y 0.667 0.333 0.000
Ho 0.167 0.833 0.500
Ho 0.500 0.500 0.500
Ho 0.833 0.167 0.500


The following is a PBE calculation of a geometry-optimized YMoC2Cl structure, from Alexandria via LeMat-Bulk.

Energy relative to the elements, uncorrected   2.663 eV per atom

a = 4.363 Å, b = 4.363 Å, c = 5.597 Å
α = 90.00°, β = 90.00°, γ = 90.00°
Fractional positions:
Y 0.000 0.000 0.000
Mo 0.000 0.000 0.500
C 0.000 0.500 0.000
C 0.500 0.000 0.000
Cl 0.500 0.500 0.500


The following is a PBE calculation of a geometry-optimized AcBi2Te4 structure, from Alexandria via LeMat-Bulk.

Energy relative to the elements, uncorrected   -0.609 eV per atom

a = 7.595 Å, b = 7.595 Å, c = 14.967 Å
α = 90.00°, β = 90.00°, γ = 143.05°
Fractional positions:
Ac 0.122 0.878 0.750
Ac 0.878 0.122 0.250
Bi 0.372 0.628 0.560
Bi 0.372 0.628 0.940
Bi 0.628 0.372 0.060
Bi 0.628 0.372 0.440
Te 0.000 0.000 0.000
Te 0.000 0.000 0.500
Te 0.270 0.730 0.120
Te 0.270 0.730 0.380
Te 0.465 0.535 0.750
Te 0.535 0.465 0.250
Te 0.730 0.270 0.620
Te 0.730 0.270 0.880


Total moment
In order: 0.00 0.00 0.00 0.00 0.00 0.00 0.36 0.00 3.83 0.01 0.00 0.00 0.00
Unit: μB per cell